a) Computed, not measured: a geometry-optimized Mg3CdPb3 structure at the PBE level of DFT.

Properties
Space group: C2/m, No. 12

a b c (Å): 7.181 7.181 7.328
angles (deg): 89.98 89.98 88.23
Sites, in units of the cell vectors:
Cd (0.501, 0.501, 0.211)
Cd (0.499, 0.499, 0.789)
Pb (0.500, 0.000, 0.238)
Pb (0.000, 0.500, 0.238)
Pb (0.000, 0.500, 0.762)
Pb (0.000, 0.000, 0.741)
Pb (0.000, 0.000, 0.259)
Pb (0.500, 0.000, 0.762)
Mg (0.725, 0.275, 0.500)
Mg (0.275, 0.725, 0.500)
Mg (0.247, 0.753, 0.000)
Mg (0.729, 0.729, 0.501)
Mg (0.271, 0.271, 0.499)
Mg (0.753, 0.247, 0.000)

***

b) Computed, not measured: a geometry-optimized Mg3CdPb3 structure at the PBE level of DFT.

Properties
Space group: Pm-3n, No. 223

a b c (Å): 8.159 8.159 8.159
angles (deg): 90.00 90.00 90.00
Sites, in units of the cell vectors:
Pb (0.000, 0.500, 0.750)
Pb (0.000, 0.500, 0.250)
Pb (0.250, 0.000, 0.500)
Pb (0.500, 0.750, 0.000)
Pb (0.500, 0.250, 0.000)
Pb (0.750, 0.000, 0.500)
Mg (0.750, 0.500, 0.000)
Mg (0.000, 0.750, 0.500)
Mg (0.250, 0.500, 0.000)
Mg (0.500, 0.000, 0.250)
Mg (0.000, 0.250, 0.500)
Mg (0.500, 0.000, 0.750)
Cd (0.500, 0.500, 0.500)
Cd (0.000, 0.000, 0.000)

***

c) Computed, not measured: a geometry-optimized Mg3CdPb3 structure at the PBE level of DFT.

Properties
Space group: C2/m, No. 12

a b c (Å): 6.962 6.962 7.912
angles (deg): 91.74 91.74 97.60
Sites, in units of the cell vectors:
Pb (0.165, 0.835, 0.500)
Pb (0.835, 0.165, 0.500)
Pb (0.583, 0.583, 0.316)
Pb (0.275, 0.725, 0.000)
Pb (0.417, 0.417, 0.684)
Pb (0.725, 0.275, 0.000)
Cd (0.276, 0.276, 0.056)
Cd (0.724, 0.724, 0.944)
Mg (0.026, 0.026, 0.810)
Mg (0.974, 0.974, 0.190)
Mg (0.028, 0.483, 0.281)
Mg (0.972, 0.517, 0.719)
Mg (0.517, 0.972, 0.719)
Mg (0.483, 0.028, 0.281)

***

It is b) that is the least stable of them.

***

a) Computed, not measured: a geometry-optimized Mg2Cd9Pb structure at the PBE level of DFT.

Properties
Space group: P4/mmm, No. 123

a b c (Å): 4.520 4.520 13.589
angles (deg): 90.00 90.00 90.00
Sites, in units of the cell vectors:
Mg (0.000, 0.000, 0.661)
Mg (0.000, 0.000, 0.339)
Cd (0.500, 0.500, 0.339)
Cd (0.000, 0.500, 0.500)
Cd (0.500, 0.000, 0.819)
Cd (0.000, 0.500, 0.819)
Cd (0.500, 0.500, 0.661)
Cd (0.500, 0.000, 0.181)
Cd (0.500, 0.000, 0.500)
Cd (0.500, 0.500, 0.000)
Cd (0.000, 0.500, 0.181)
Pb (0.000, 0.000, 0.000)

***

b) Computed, not measured: a geometry-optimized Mg2Cd9Pb structure at the PBE level of DFT.

Properties
Space group: P6/mmm, No. 191

a b c (Å): 3.214 10.093 10.093
angles (deg): 120.00 90.00 90.00
Sites, in units of the cell vectors:
Cd (0.000, 0.000, 0.500)
Cd (0.500, 0.359, 0.180)
Cd (0.500, 0.820, 0.180)
Cd (0.500, 0.180, 0.820)
Cd (0.500, 0.641, 0.820)
Cd (0.000, 0.500, 0.000)
Cd (0.000, 0.500, 0.500)
Cd (0.500, 0.820, 0.641)
Cd (0.500, 0.180, 0.359)
Pb (0.000, 0.000, 0.000)
Mg (0.000, 0.667, 0.333)
Mg (0.000, 0.333, 0.667)

***

It is b) that is the least stable of them.

***

a) Computed, not measured: a geometry-optimized Mg4Cd4Pb structure at the PBE level of DFT.

Properties
Space group: P4_2/nmc, No. 137

a b c (Å): 7.852 7.852 7.707
angles (deg): 90.00 90.00 90.00
Sites, in units of the cell vectors:
Cd (0.500, 0.816, 0.223)
Cd (0.816, 0.500, 0.777)
Cd (0.000, 0.316, 0.277)
Cd (0.684, 0.000, 0.723)
Cd (0.500, 0.184, 0.223)
Cd (0.316, 0.000, 0.723)
Cd (0.000, 0.684, 0.277)
Cd (0.184, 0.500, 0.777)
Mg (0.299, 0.500, 0.145)
Mg (0.000, 0.201, 0.645)
Mg (0.000, 0.799, 0.645)
Mg (0.500, 0.299, 0.855)
Mg (0.201, 0.000, 0.355)
Mg (0.500, 0.701, 0.855)
Mg (0.701, 0.500, 0.145)
Mg (0.799, 0.000, 0.355)
Pb (0.000, 0.000, 0.000)
Pb (0.500, 0.500, 0.500)

***

b) Computed, not measured: a geometry-optimized Mg4Cd4Pb structure at the PBE level of DFT.

Properties
Space group: I4/mmm, No. 139

a b c (Å): 4.454 7.171 7.171
angles (deg): 84.46 71.90 71.90
Sites, in units of the cell vectors:
Cd (0.337, 0.663, 0.663)
Cd (0.000, 0.663, 0.337)
Cd (0.663, 0.337, 0.337)
Cd (0.000, 0.337, 0.663)
Mg (0.330, 0.000, 0.341)
Mg (0.670, 0.000, 0.659)
Mg (0.670, 0.659, 0.000)
Mg (0.330, 0.341, 0.000)
Pb (0.000, 0.000, 0.000)

***

It is a) that is the least stable of them.

***

a) Computed, not measured: a geometry-optimized Mg6Cd5Pb structure at the PBE level of DFT.

Properties
Space group: C2/m, No. 12

a b c (Å): 5.006 8.580 8.580
angles (deg): 118.03 106.79 106.79
Sites, in units of the cell vectors:
Cd (0.500, 0.834, 0.166)
Cd (0.000, 0.331, 0.669)
Cd (0.500, 0.500, 0.500)
Cd (0.500, 0.166, 0.834)
Cd (0.000, 0.669, 0.331)
Pb (0.000, 0.000, 0.000)
Mg (0.763, 0.263, 0.263)
Mg (0.257, 0.427, 0.087)
Mg (0.743, 0.913, 0.573)
Mg (0.743, 0.573, 0.913)
Mg (0.257, 0.087, 0.427)
Mg (0.237, 0.737, 0.737)

***

b) Computed, not measured: a geometry-optimized Mg6Cd5Pb structure at the PBE level of DFT.

Properties
Space group: C2/m, No. 12

a b c (Å): 8.586 4.995 8.021
angles (deg): 71.86 79.82 55.44
Sites, in units of the cell vectors:
Mg (0.742, 0.429, 0.658)
Mg (0.742, 0.087, 0.342)
Mg (0.741, 0.759, 0.000)
Mg (0.258, 0.571, 0.342)
Mg (0.258, 0.913, 0.658)
Mg (0.259, 0.241, 0.000)
Cd (0.500, 0.836, 0.329)
Cd (0.000, 0.331, 0.337)
Cd (0.500, 0.164, 0.671)
Cd (0.000, 0.669, 0.663)
Cd (0.500, 0.500, 0.000)
Pb (0.000, 0.000, 0.000)

***

It is b) that is the least stable of them.

***

a) Computed, not measured: a geometry-optimized Mg3CdPb structure at the PBE level of DFT.

Properties
Space group: Pm-3m, No. 221

a b c (Å): 5.247 5.247 5.247
angles (deg): 90.00 90.00 90.00
Sites, in units of the cell vectors:
Cd (0.000, 0.000, 0.000)
Mg (0.000, 0.500, 0.000)
Mg (0.000, 0.000, 0.500)
Mg (0.500, 0.000, 0.000)
Pb (0.500, 0.500, 0.500)

***

b) Computed, not measured: a geometry-optimized Mg3CdPb structure at the PBE level of DFT.

Properties
Space group: P1, No. 1

a b c (Å): 4.885 6.157 4.887
angles (deg): 90.06 119.83 89.80
Sites, in units of the cell vectors:
Mg (0.423, 0.897, 0.688)
Mg (0.425, 0.394, 0.688)
Mg (0.757, 0.645, 0.355)
Pb (0.758, 0.145, 0.354)
Cd (0.091, 0.644, 0.021)

***

It is a) that is the least stable of them.

***

a) Computed, not measured: a geometry-optimized Mg2CdPb5 structure at the PBE level of DFT.

Properties
Space group: Cmcm, No. 63

a b c (Å): 3.492 8.201 17.149
angles (deg): 90.00 90.00 102.29
Sites, in units of the cell vectors:
Pb (0.293, 0.585, 0.418)
Pb (0.293, 0.585, 0.082)
Pb (0.707, 0.415, 0.582)
Pb (0.707, 0.415, 0.918)
Pb (0.910, 0.820, 0.949)
Pb (0.755, 0.509, 0.250)
Pb (0.910, 0.820, 0.551)
Pb (0.090, 0.180, 0.051)
Pb (0.090, 0.180, 0.449)
Pb (0.245, 0.491, 0.750)
Cd (0.911, 0.822, 0.750)
Cd (0.089, 0.178, 0.250)
Mg (0.933, 0.866, 0.158)
Mg (0.067, 0.134, 0.842)
Mg (0.933, 0.866, 0.342)
Mg (0.067, 0.134, 0.658)

***

b) Computed, not measured: a geometry-optimized Mg2CdPb5 structure at the PBE level of DFT.

Properties
Space group: I4mm, No. 107

a b c (Å): 6.730 6.730 6.729
angles (deg): 116.49 116.49 96.21
Sites, in units of the cell vectors:
Pb (0.778, 0.278, 0.000)
Pb (0.278, 0.778, 0.000)
Pb (0.778, 0.778, 0.500)
Pb (0.278, 0.278, 0.000)
Pb (0.278, 0.278, 0.500)
Mg (0.277, 0.777, 0.500)
Mg (0.777, 0.277, 0.500)
Cd (0.779, 0.778, 0.000)

***

It is a) that is the least stable of them.